a.
# EuTiRh2

Crystalline EuTiRh2 at its relaxed geometry (PBE, Alexandria).

Geometry as POSCAR:
```
EuTiRh2
1.0
3.144 0.000 0.000
0.000 3.144 0.000
0.000 0.000 7.321
Eu Rh Ti
1 2 1
direct
0.500 0.500 0.500 Eu
0.000 0.000 0.801 Rh
0.000 0.000 0.199 Rh
0.500 0.500 0.000 Ti
```

Calculated values
As for the symmetry: No. 123. Its density is 9.3 Mg/m³. The crystal system is tetragonal.



b.
# EuTiRh2

Crystalline EuTiRh2 at its relaxed geometry (PBE, Alexandria).

Geometry as POSCAR:
```
EuTiRh2
1.0
4.194 0.000 0.000
2.097 3.632 0.000
2.097 1.211 5.351
Eu Rh Ti
1 2 1
direct
0.500 0.500 0.500 Eu
0.285 0.285 0.144 Rh
0.715 0.715 0.856 Rh
0.000 0.000 0.000 Ti
```

Calculated values
As for the symmetry: No. 166. Its density is 8.3 Mg/m³. The crystal system is trigonal.



Which of them is the most stable? Correct choice: a.



a.
# Eu2TlRh

Crystalline Eu2TlRh at its relaxed geometry (PBE, Alexandria).

Geometry as POSCAR:
```
Eu2TlRh
1.0
3.602 0.000 0.000
0.000 3.602 0.000
0.000 0.000 8.125
Eu Tl Rh
2 1 1
direct
0.000 0.000 0.790 Eu
0.000 0.000 0.210 Eu
0.500 0.500 0.500 Tl
0.500 0.500 0.000 Rh
```

Calculated values
As for the symmetry: No. 123. Its density is 9.6 Mg/m³. The crystal system is tetragonal.



b.
# Eu2TlRh

Crystalline Eu2TlRh at its relaxed geometry (PBE, Alexandria).

Geometry as POSCAR:
```
Eu2TlRh
1.0
3.913 0.000 0.000
1.957 3.389 0.000
1.957 1.130 10.230
Eu Tl Rh
2 1 1
direct
0.111 0.111 0.668 Eu
0.889 0.889 0.332 Eu
0.000 0.000 0.000 Tl
0.500 0.500 0.500 Rh
```

Calculated values
As for the symmetry: No. 166. Its density is 7.5 Mg/m³. The crystal system is trigonal.



c.
# Eu2TlRh

Crystalline Eu2TlRh at its relaxed geometry (PBE, Alexandria).

Geometry as POSCAR:
```
Eu2TlRh
1.0
5.289 0.000 0.000
2.644 4.580 0.000
2.644 1.527 4.318
Eu Tl Rh
2 1 1
direct
0.250 0.250 0.250 Eu
0.750 0.750 0.750 Eu
0.500 0.500 0.500 Tl
0.000 0.000 0.000 Rh
```

Calculated values
As for the symmetry: No. 225. Its density is 9.7 Mg/m³. The crystal system is cubic.



Which of them is the most stable? Correct choice: a.



a.
# EuTm2Rh

Crystalline EuTm2Rh at its relaxed geometry (PBE, Alexandria).

Geometry as POSCAR:
```
EuTm2Rh
1.0
-2.985 -1.457 -2.121
-1.825 -3.293 1.168
-7.601 3.496 4.634
Eu Tm Rh
1 2 1
direct
0.500 0.500 0.500 Eu
0.280 0.280 0.159 Tm
0.720 0.720 0.841 Tm
0.000 0.000 0.000 Rh
```

Calculated values
As for the symmetry: No. 166. Its density is 7.9 Mg/m³. The crystal system is trigonal.



b.
# EuTm2Rh

Crystalline EuTm2Rh at its relaxed geometry (PBE, Alexandria).

Geometry as POSCAR:
```
EuTm2Rh
1.0
3.469 0.000 0.000
0.000 3.469 0.000
0.000 0.000 9.052
Eu Tm Rh
1 2 1
direct
0.500 0.500 0.500 Eu
0.000 0.000 0.824 Tm
0.000 0.000 0.176 Tm
0.500 0.500 0.000 Rh
```

Calculated values
As for the symmetry: No. 123. Its density is 9.0 Mg/m³. The crystal system is tetragonal.



Which of them is the most stable? Correct choice: b.